Compound: AgSn2As2
Source: the Alexandria database
Functional: PBE
Structure: optimized geometry

a b c (Å): 5.546 5.546 8.102
angles (deg): 90.00 90.00 90.00
Sites, in units of the cell vectors:
Ag1 0.000 0.000 0.000
Ag2 0.500 0.500 0.500
Sn1 0.000 0.500 0.250
Sn2 0.000 0.500 0.750
Sn3 0.500 0.000 0.250
Sn4 0.500 0.000 0.750
As1 0.000 0.000 0.332
As2 0.000 0.000 0.668
As3 0.500 0.500 0.168
As4 0.500 0.500 0.832

Properties
ΔH_f (0 K) = 73 kJ/mol of formula units
SG = I4/mmm, No. 139

---

Compound: AgSn2As2
Source: the Alexandria database
Functional: PBE
Structure: optimized geometry

a b c (Å): 3.808 3.808 16.471
angles (deg): 90.00 90.00 90.00
Sites, in units of the cell vectors:
Ag1 0.000 0.000 0.000
Ag2 0.500 0.500 0.500
Sn1 0.000 0.000 0.403
Sn2 0.000 0.000 0.597
Sn3 0.500 0.500 0.097
Sn4 0.500 0.500 0.903
As1 0.000 0.500 0.250
As2 0.000 0.500 0.750
As3 0.500 0.000 0.250
As4 0.500 0.000 0.750

Properties
ΔH_f (0 K) = 94 kJ/mol of formula units
SG = I4/mmm, No. 139

---

Compound: AgSn2As
Source: the Alexandria database
Functional: PBE
Structure: optimized geometry

a b c (Å): 3.818 3.818 26.760
angles (deg): 90.00 90.00 120.00
Sites, in units of the cell vectors:
Ag1 0.000 0.000 0.000
Ag2 0.333 0.667 0.667
Ag3 0.667 0.333 0.333
Sn1 0.000 0.000 0.101
Sn2 0.000 0.000 0.899
Sn3 0.333 0.667 0.566
Sn4 0.333 0.667 0.768
Sn5 0.667 0.333 0.232
Sn6 0.667 0.333 0.434
As1 0.000 0.000 0.500
As2 0.333 0.667 0.167
As3 0.667 0.333 0.833

Properties
ΔH_f (0 K) = 85 kJ/mol of formula units
SG = R-3m, No. 166

---

no.,density of states at the Fermi level (states/eV/cell)
1,4.7
2,5.4
3,3.9